1.
The following is a PBE calculation of a relaxed structure of PmCo3P3, from Alexandria via LeMat-Bulk.

Cell and atoms, written as POSCAR:
```
PmCo3P3
1.0
-4.660 3.735 -2.209
-5.047 1.296 3.660
-0.128 6.978 2.893
Pm Co P
2 6 6
Direct
0.333 0.333 0.001
0.667 0.667 0.999
0.472 0.783 0.624
0.783 0.120 0.624
0.120 0.472 0.624
0.880 0.528 0.376
0.217 0.880 0.376
0.528 0.217 0.376
0.220 0.590 0.291
0.899 0.220 0.291
0.590 0.899 0.291
0.410 0.101 0.709
0.101 0.780 0.709
0.780 0.410 0.709
```

## Properties
**Volume**: 16.55 Å³/atom
**Formation enthalpy at 0 K**: -0.730 eV/atom

***

2.
The following is a PBE calculation of a relaxed structure of PmCoP, from Alexandria via LeMat-Bulk.

Cell and atoms, written as POSCAR:
```
PmCoP
1.0
3.919 0.000 0.000
0.000 3.919 0.000
-1.959 -1.959 3.953
P Co Pm
1 1 1
Direct
0.310 0.310 0.621
0.582 0.582 0.164
0.958 0.958 0.915
```

## Properties
**ΔE to the lowest computed polymorph**: 218.4 kJ/mol of formula units
**Volume**: 20.23 Å³/atom
**Formation enthalpy at 0 K**: -0.233 eV/atom

***

3.
The following is a PBE calculation of a relaxed structure of PmCo5P2, from Alexandria via LeMat-Bulk.

Cell and atoms, written as POSCAR:
```
PmCo5P2
1.0
3.424 0.000 1.138
1.276 5.310 1.879
-0.015 0.381 5.763
Pm Co P
1 5 2
Direct
0.000 0.000 0.000
0.000 0.500 0.500
0.651 0.538 0.159
0.349 0.462 0.841
0.349 0.841 0.462
0.651 0.159 0.538
0.759 0.741 0.741
0.241 0.259 0.259
```

## Properties
**Volume**: 12.87 Å³/atom
**Formation enthalpy at 0 K**: -0.608 eV/atom

***

4.
The following is a PBE calculation of a relaxed structure of Pm3Co2P4, from Alexandria via LeMat-Bulk.

Cell and atoms, written as POSCAR:
```
Pm3Co2P4
1.0
3.961 0.000 0.000
-1.980 5.760 -0.491
0.000 -3.054 7.719
Pm Co P
3 2 4
Direct
0.628 0.255 0.715
0.000 0.000 0.000
0.372 0.745 0.285
0.690 0.380 0.383
0.310 0.620 0.617
0.691 0.383 0.111
0.309 0.617 0.889
0.895 0.790 0.599
0.105 0.210 0.401
```

## Properties
**Volume**: 18.91 Å³/atom
**Formation enthalpy at 0 K**: -1.072 eV/atom

***

5.
The following is a PBE calculation of a relaxed structure of PmCo3P2, from Alexandria via LeMat-Bulk.

Cell and atoms, written as POSCAR:
```
PmCo3P2
1.0
-1.544 2.043 2.669
-1.843 -7.272 1.939
8.306 1.584 3.593
Pm Co P
3 9 6
Direct
0.155 0.310 0.700
0.845 0.690 0.300
0.000 0.000 0.000
0.049 0.099 0.340
0.951 0.901 0.660
0.218 0.436 0.395
0.782 0.564 0.605
0.629 0.257 0.214
0.371 0.743 0.786
0.500 0.000 0.500
0.321 0.643 0.030
0.679 0.357 0.970
0.198 0.397 0.131
0.802 0.603 0.869
0.471 0.942 0.228
0.529 0.058 0.772
0.359 0.718 0.546
0.641 0.282 0.454
```

## Properties
**Volume**: 13.61 Å³/atom
**Formation enthalpy at 0 K**: -0.860 eV/atom

***

6.
The following is a PBE calculation of a relaxed structure of PmCo4P4, from Alexandria via LeMat-Bulk.

Cell and atoms, written as POSCAR:
```
PmCo4P4
1.0
5.678 0.000 0.000
0.000 5.678 0.000
0.000 0.000 7.381
Pm Co P
2 8 8
Direct
0.000 0.000 0.000
0.500 0.500 0.500
0.224 0.500 0.877
0.776 0.500 0.877
0.500 0.776 0.123
0.500 0.224 0.123
0.000 0.724 0.377
0.000 0.276 0.377
0.276 0.000 0.623
0.724 0.000 0.623
0.500 0.786 0.824
0.500 0.214 0.824
0.786 0.500 0.176
0.214 0.500 0.176
0.286 0.000 0.324
0.714 0.000 0.324
0.000 0.286 0.676
0.000 0.714 0.676
```

## Properties
**Volume**: 13.22 Å³/atom
**Formation enthalpy at 0 K**: -0.638 eV/atom

***

7.
The following is a PBE calculation of a relaxed structure of Pm2Co3P4Pt, from Alexandria via LeMat-Bulk.

Cell and atoms, written as POSCAR:
```
Pm2Co3P4Pt
1.0
-2.777 -2.793 0.881
2.072 -2.732 -2.129
4.766 -2.332 7.632
Pm Co P Pt
2 3 4 1
Direct
0.500 0.000 0.238
0.000 0.500 0.762
0.000 0.000 0.500
0.500 0.000 0.893
0.000 0.500 0.107
0.500 0.500 0.000
0.000 0.000 0.000
0.500 0.000 0.648
0.000 0.500 0.352
0.500 0.500 0.500
```

## Properties
**Volume**: 15.14 Å³/atom
**Formation enthalpy at 0 K**: -1.003 eV/atom

***

8.
The following is a PBE calculation of a relaxed structure of PmCoP2Rh2, from Alexandria via LeMat-Bulk.

Cell and atoms, written as POSCAR:
```
PmCoP2Rh2
1.0
4.265 0.000 0.000
0.000 4.265 0.000
0.000 0.000 5.451
Pm Co P Rh
1 1 2 2
Direct
0.000 0.000 0.500
0.000 0.000 0.000
0.500 0.000 0.000
0.000 0.500 0.000
0.500 0.500 0.750
0.500 0.500 0.250
```

## Properties
**Volume**: 16.53 Å³/atom
**Formation enthalpy at 0 K**: -0.474 eV/atom

***

9.
The following is a PBE calculation of a relaxed structure of Pm2Co3P4Rh, from Alexandria via LeMat-Bulk.

Cell and atoms, written as POSCAR:
```
Pm2Co3P4Rh
1.0
4.011 0.000 0.000
0.000 4.011 0.000
0.000 0.000 9.257
Pm Co P Rh
2 3 4 1
Direct
0.500 0.000 0.239
0.000 0.500 0.761
0.000 0.000 0.500
0.500 0.000 0.891
0.000 0.500 0.109
0.500 0.500 0.000
0.000 0.000 0.000
0.500 0.000 0.643
0.000 0.500 0.357
0.500 0.500 0.500
```

## Properties
**Volume**: 14.89 Å³/atom
**Formation enthalpy at 0 K**: -1.030 eV/atom

***

10.
The following is a PBE calculation of a relaxed structure of Pm2CoP3Rh4, from Alexandria via LeMat-Bulk.

Cell and atoms, written as POSCAR:
```
Pm2CoP3Rh4
1.0
-1.108 -3.030 -2.536
-0.933 -2.359 3.226
-9.168 3.457 -0.125
Pm Co P Rh
2 1 3 4
Direct
0.500 0.000 0.255
0.000 0.500 0.745
0.500 0.500 0.500
0.000 0.000 0.500
0.500 0.000 0.863
0.000 0.500 0.137
0.500 0.500 0.000
0.000 0.000 0.000
0.500 0.000 0.626
0.000 0.500 0.374
```

## Properties
**Volume**: 16.50 Å³/atom
**Formation enthalpy at 0 K**: -0.951 eV/atom

***

11.
The following is a PBE calculation of a relaxed structure of PmCoP2Ru, from Alexandria via LeMat-Bulk.

Cell and atoms, written as POSCAR:
```
PmCoP2Ru
1.0
-1.522 -0.921 3.491
1.435 -3.631 -0.332
4.267 3.741 0.648
Pm Co P Ru
1 1 2 1
Direct
0.000 0.000 0.000
0.750 0.250 0.500
0.625 0.625 0.250
0.375 0.375 0.750
0.250 0.750 0.500
```

## Properties
**Volume**: 15.34 Å³/atom
**Formation enthalpy at 0 K**: -0.966 eV/atom

***

12.
The following is a PBE calculation of a relaxed structure of PmTiCoP2, from Alexandria via LeMat-Bulk.

Cell and atoms, written as POSCAR:
```
PmTiCoP2
1.0
-3.070 1.177 1.987
-2.223 -2.401 -2.013
3.575 -3.487 3.877
Pm Ti Co P
1 1 1 2
Direct
0.000 0.000 0.000
0.250 0.750 0.500
0.750 0.250 0.500
0.628 0.628 0.256
0.372 0.372 0.744
```

## Properties
**Volume**: 16.85 Å³/atom
**Formation enthalpy at 0 K**: -1.013 eV/atom

***

The highest formation enthalpy at 0 K belongs to which entry? PmCoP

***

Copy entry 9 word for word.
The following is a PBE calculation of a relaxed structure of Pm2Co3P4Rh, from Alexandria via LeMat-Bulk.

Cell and atoms, written as POSCAR:
```
Pm2Co3P4Rh
1.0
4.011 0.000 0.000
0.000 4.011 0.000
0.000 0.000 9.257
Pm Co P Rh
2 3 4 1
Direct
0.500 0.000 0.239
0.000 0.500 0.761
0.000 0.000 0.500
0.500 0.000 0.891
0.000 0.500 0.109
0.500 0.500 0.000
0.000 0.000 0.000
0.500 0.000 0.643
0.000 0.500 0.357
0.500 0.500 0.500
```

## Properties
**Volume**: 14.89 Å³/atom
**Formation enthalpy at 0 K**: -1.030 eV/atom

***

Copy entry 8 word for word.
The following is a PBE calculation of a relaxed structure of PmCoP2Rh2, from Alexandria via LeMat-Bulk.

Cell and atoms, written as POSCAR:
```
PmCoP2Rh2
1.0
4.265 0.000 0.000
0.000 4.265 0.000
0.000 0.000 5.451
Pm Co P Rh
1 1 2 2
Direct
0.000 0.000 0.500
0.000 0.000 0.000
0.500 0.000 0.000
0.000 0.500 0.000
0.500 0.500 0.750
0.500 0.500 0.250
```

## Properties
**Volume**: 16.53 Å³/atom
**Formation enthalpy at 0 K**: -0.474 eV/atom

***

What is the formula in the third record? PmCo5P2